(1)
BiBNF2 after structural relaxation, computed with PBE-GGA.

Calculated values
Uncorrected formation energy: 0.41 eV/atom
Energy relative to the lowest polymorph listed for this composition: 127.14 kJ/mol of atoms

Cell and atoms, written as POSCAR:
```
BiBNF2
1.0
4.5231 0.0000 0.0000
0.0000 4.5231 0.0000
0.0000 0.0000 4.3015
B N Bi F
1 1 1 2
Cartesian
2.2615 2.2615 2.1508
0.0000 0.0000 2.1508
0.0000 0.0000 0.0000
0.0000 2.2615 0.0000
2.2615 0.0000 0.0000
```

---

(2)
SrCeGaPd after structural relaxation, computed with PBE-GGA.

Calculated values
ΔE_f: -0.410 eV per atom

Cell and atoms, written as POSCAR:
```
SrCeGaPd
1.0
-3.0548 3.5582 -2.3191
-2.9440 -1.3575 -4.1061
-5.1999 -0.2965 0.4934
Sr Ga Pd Ce
1 1 1 1
Cartesian
-5.5994 0.9521 -2.9659
-2.7997 0.4760 -1.4830
-8.3990 1.4281 -4.4489
0.0000 0.0000 0.0000
```

---

(3)
RbP2BrO after structural relaxation, computed with PBE-GGA.

Calculated values
Uncorrected formation energy: 0.81 eV/atom
Energy relative to the lowest polymorph listed for this composition: 0.00 kJ/mol of atoms

Cell and atoms, written as POSCAR:
```
RbP2BrO
1.0
-0.5005 5.0440 -0.9704
-3.7100 0.3193 3.5732
3.0728 0.9032 3.1097
O P Br Rb
1 2 1 1
Cartesian
1.5364 0.4516 1.5549
-1.8550 0.1597 1.7866
-0.2502 2.5220 -0.4852
0.0000 0.0000 0.0000
-0.5688 3.1332 2.8563
```

---

(4)
SiN after structural relaxation, computed with PBE-GGA.

Calculated values
Uncorrected formation energy: 0.09 eV/atom
Energy relative to the lowest polymorph listed for this composition: 80.95 kJ/mol of atoms

Cell and atoms, written as POSCAR:
```
SiN
1.0
4.2783 0.0000 0.0000
0.0000 4.2783 0.0000
0.0000 0.0000 4.2783
Si N
4 4
Cartesian
0.0000 0.0000 0.0000
0.0000 2.1392 2.1392
2.1392 0.0000 2.1392
2.1392 2.1392 0.0000
1.0696 1.0696 1.0696
1.0696 3.2087 3.2087
3.2087 1.0696 3.2087
3.2087 3.2087 1.0696
```

---

(5)
Cs2KCdAu after structural relaxation, computed with PBE-GGA.

Calculated values
Energy relative to the lowest polymorph listed for this composition: 0.00 kJ/mol of atoms
ΔE_f: -0.105 eV per atom

Cell and atoms, written as POSCAR:
```
Cs2KCdAu
1.0
-6.1215 -1.9519 2.9884
3.5501 -2.7146 5.4991
-0.2906 4.9075 2.6102
Cs K Au Cd
2 1 1 1
Cartesian
1.7751 -1.3573 2.7496
-3.0607 -0.9760 1.4942
-1.4310 0.1205 5.5488
0.0000 0.0000 0.0000
-0.1453 2.4538 1.3051
```

---

(6)
LaThCdIn after structural relaxation, computed with PBE-GGA.

Calculated values
ΔE_f: -0.271 eV per atom

Cell and atoms, written as POSCAR:
```
LaThCdIn
1.0
5.5146 0.0000 0.0000
2.7573 4.7757 0.0000
2.7573 1.5919 4.5026
Cd In Th La
1 1 1 1
Cartesian
8.2718 4.7757 3.3770
2.7573 1.5919 1.1257
5.5146 3.1838 2.2513
0.0000 0.0000 0.0000
```

---

(7)
Er2ThRu after structural relaxation, computed with PBE-GGA.

Calculated values
Energy relative to the lowest polymorph listed for this composition: 0.00 kJ/mol of atoms
ΔE_f: -0.367 eV per atom

Cell and atoms, written as POSCAR:
```
Er2ThRu
1.0
-5.8541 -1.7256 -1.6213
2.5025 -6.3786 -2.2471
-1.3480 -3.5891 8.6869
Er Th Ru
8 4 4
Cartesian
0.6166 -4.8298 -1.2098
-2.0934 -3.2420 2.8352
-4.8215 -5.5462 2.8399
-3.1009 -9.7686 5.1718
-5.3162 -6.8635 6.0283
-2.6062 -8.4513 1.9833
0.1219 -6.1471 1.9786
-1.5987 -1.9246 -0.3533
-2.7826 -5.5022 -0.1103
-5.1921 -2.6543 0.6924
-1.9170 -6.1911 4.9288
0.4925 -9.0390 4.1261
0.3767 -3.3070 1.2869
-0.8837 -7.2366 -0.5323
-5.0763 -8.3862 3.5317
-3.8159 -4.4566 5.3508
```

---

(8)
KRbLiV2 after structural relaxation, computed with PBE-GGA.

Calculated values
ΔE_f: 1.298 eV per atom

Cell and atoms, written as POSCAR:
```
KRbLiV2
1.0
5.2604 0.0000 0.0000
0.0000 6.1782 0.0000
0.0000 0.0000 5.2604
K Li Rb V
1 1 1 2
Cartesian
0.0000 3.0891 0.0000
0.0000 0.0000 0.0000
2.6302 3.0891 2.6302
0.0000 0.0000 2.6302
2.6302 0.0000 0.0000
```

---

(9)
Tb7Sm3Y2 after structural relaxation, computed with PBE-GGA.

Calculated values
Energy relative to the lowest polymorph listed for this composition: 0.00 kJ/mol of atoms
ΔE_f: 0.080 eV per atom

Cell and atoms, written as POSCAR:
```
Tb7Sm3Y2
1.0
-1.0017 -3.1269 -1.3140
6.1011 -1.8184 -0.3238
3.2372 -7.7420 15.9565
Tb Sm Y
7 3 2
Cartesian
2.6111 -5.8873 7.2605
5.7255 -6.8000 7.0582
3.9636 -2.3037 2.4608
0.0000 0.0000 0.0000
5.3747 -7.2566 13.1719
7.9477 -9.7273 12.3305
0.3889 -2.9600 1.9882
2.5497 -2.4726 -0.8189
1.7730 -2.8389 5.4043
7.5653 -6.7215 10.2283
4.3130 -5.2171 4.3682
4.0236 -7.4702 9.9505
```

---

(10)
InC2O6 after structural relaxation, computed with PBE-GGA.

Calculated values
Uncorrected formation energy: -1.17 eV/atom

Cell and atoms, written as POSCAR:
```
InC2O6
1.0
-3.0385 -5.7813 -0.2574
-0.3311 -2.5441 5.8763
-6.3401 0.8567 0.4265
In C O
2 4 12
Cartesian
-6.5408 -0.9049 0.8691
-3.1689 -6.5638 5.1764
-6.6184 -2.4423 3.8117
-3.2328 -1.1959 0.8563
-3.0914 -5.0264 2.2338
-6.4770 -6.2728 5.1891
-6.5605 -3.6447 3.5226
-2.8461 -0.2451 1.5486
-3.1493 -3.8240 2.5228
-6.8636 -7.2236 4.4968
-5.2244 -5.9956 5.3735
-3.1651 -5.9708 3.1184
-4.4853 -1.4731 0.6719
-6.5446 -1.4979 2.9270
-6.7670 -2.0192 5.0752
-2.3767 -2.0193 0.2344
-2.9428 -5.4495 0.9702
-7.3330 -5.4494 5.8110
```

---

(11)
FeCuP2 after structural relaxation, computed with PBE-GGA.

Calculated values
ΔE_f: 0.057 eV per atom

Cell and atoms, written as POSCAR:
```
FeCuP2
1.0
2.7551 0.0000 0.0000
0.0000 2.7556 0.0000
0.0000 0.0000 6.5002
Cu Fe P
1 1 2
Cartesian
1.3776 1.3778 1.6251
1.3776 1.3778 4.8752
0.0000 0.0000 6.2839
0.0000 0.0000 3.4665
```

---

(12)
LaSiOs2 after structural relaxation, computed with PBE-GGA.

Calculated values
Uncorrected formation energy: 0.61 eV/atom

Cell and atoms, written as POSCAR:
```
LaSiOs2
1.0
4.6735 0.0000 0.0000
2.3367 4.0473 0.0000
2.3367 1.3491 3.8159
La Os Si
1 2 1
Cartesian
4.6735 2.6982 1.9079
0.0000 0.0000 0.0000
2.3367 1.3491 0.9540
7.0102 4.0473 2.8619
```

---

(13)
SrH2Cl after structural relaxation, computed with PBE-GGA.

Calculated values
Energy relative to the lowest polymorph listed for this composition: 16.51 kJ/mol of atoms

Cell and atoms, written as POSCAR:
```
SrH2Cl
1.0
-3.0599 2.0877 -1.8235
-2.4512 -0.7698 3.2320
0.0970 8.3245 4.6934
Sr H Cl
2 4 2
Cartesian
0.0000 0.0000 0.0000
-2.8593 5.5355 1.7870
-2.9586 3.8109 -0.0176
-4.1862 3.4274 1.5971
-1.3820 6.9297 3.2413
-2.9103 7.9741 2.3274
-2.7556 0.6590 0.7042
-2.5549 4.1068 4.3148
```

---

(14)
NdY3Zn4 after structural relaxation, computed with PBE-GGA.

Calculated values
ΔE_f: -0.342 eV per atom

Cell and atoms, written as POSCAR:
```
NdY3Zn4
1.0
5.0834 0.0000 0.0000
0.0000 7.2626 0.0000
0.0000 0.0000 10.1664
Y Zn Nd
6 8 2
Cartesian
0.0000 0.0000 0.0000
0.0000 0.0000 5.0832
2.5428 0.0000 7.6248
2.5406 0.0000 2.5416
2.5433 3.6313 7.6248
2.5401 3.6313 2.5416
2.5417 5.5007 0.0000
2.5417 5.5007 5.0832
2.5417 1.7619 0.0000
2.5417 1.7619 5.0832
0.0013 5.5009 7.6248
5.0821 5.5009 2.5416
5.0821 1.7617 2.5416
0.0013 1.7617 7.6248
0.0000 3.6313 0.0000
0.0000 3.6313 5.0832
```

---

(15)
VMoW after structural relaxation, computed with PBE-GGA.

Calculated values
Energy relative to the lowest polymorph listed for this composition: 1.42 kJ/mol of atoms
ΔE_f: -0.105 eV per atom

Cell and atoms, written as POSCAR:
```
VMoW
1.0
4.3864 0.0000 0.0000
0.0000 4.4307 0.0000
0.0000 0.0000 9.3570
Mo W V
4 4 4
Cartesian
0.0000 0.0000 1.6180
0.0000 2.2153 6.2965
0.0000 0.0000 4.7282
0.0000 2.2153 0.0497
0.0000 0.0000 7.8782
0.0000 2.2153 3.1996
2.1932 0.0000 6.3013
2.1932 2.2153 1.6228
2.1932 0.0000 0.0694
2.1932 2.2153 4.7480
2.1932 0.0000 3.1803
2.1932 2.2153 7.8589
```

---

(16)
ScTlNi3 after structural relaxation, computed with PBE-GGA.

Calculated values
Energy relative to the lowest polymorph listed for this composition: 0.00 kJ/mol of atoms
ΔE_f: 0.839 eV per atom

Cell and atoms, written as POSCAR:
```
ScTlNi3
1.0
-0.4722 -1.4622 4.2735
-3.7157 -2.3170 -1.2034
2.5678 -3.6217 -0.9555
Sc Ni Tl
1 3 1
Cartesian
0.0000 0.0000 0.0000
-1.8579 -1.1585 -0.6017
1.2839 -1.8109 -0.4777
-0.2361 -0.7311 2.1367
-0.8101 -3.7005 1.0573
```

---

(17)
Ac2Nd3Cd3 after structural relaxation, computed with PBE-GGA.

Calculated values
ΔE_f: -0.175 eV per atom

Cell and atoms, written as POSCAR:
```
Ac2Nd3Cd3
1.0
3.9420 0.0000 -0.6349
-0.2125 5.4864 -1.3193
-0.0577 0.0250 12.1976
Ac Nd Cd
2 3 3
Cartesian
0.8756 4.2472 5.4366
2.7962 1.2642 4.8067
1.3848 2.1214 8.5987
2.2870 3.3900 1.6447
1.9710 0.0000 -0.3174
3.2757 4.9047 7.7839
-0.1062 2.7432 -0.6597
0.3961 0.6068 2.4594
```

---

(18)
CeTm5Al3 after structural relaxation, computed with PBE-GGA.

Calculated values
ΔE_f: -0.261 eV per atom

Cell and atoms, written as POSCAR:
```
CeTm5Al3
1.0
-2.3441 -5.8555 1.6169
8.3567 -3.3162 0.1056
-3.5474 3.4882 7.4895
Ce Tm Al
2 10 6
Cartesian
0.0000 0.0000 0.0000
-1.1720 -2.9277 0.8084
4.3887 -1.0481 2.5671
-0.7514 -1.7077 5.8365
0.4206 1.2200 5.0280
3.2167 -3.9758 3.3755
1.4683 -4.2763 6.3077
-2.9257 -3.2434 3.6780
0.9925 -5.4831 1.2474
0.9970 -1.4072 2.9043
5.3909 -2.4401 5.5340
5.0202 -3.6886 0.4750
-0.1249 -4.3333 3.7916
-4.1008 -2.0879 6.1591
3.7608 -6.5817 1.2824
2.5901 -1.3502 5.4203
6.5660 -3.5956 3.0529
2.2519 -2.5900 0.4401
```

---

(19)
Tl4MoPb after structural relaxation, computed with PBE-GGA.

Calculated values
ΔE_f: 0.783 eV per atom

Cell and atoms, written as POSCAR:
```
Tl4MoPb
1.0
0.0000 4.4653 4.4653
4.4653 0.0000 4.4653
4.4653 4.4653 0.0000
Tl Mo Pb
4 1 1
Cartesian
3.3516 5.5790 5.5790
5.5790 5.5790 3.3516
5.5790 3.3516 5.5790
3.3516 3.3516 3.3516
6.6979 6.6979 6.6979
0.0000 0.0000 0.0000
```

---

(20)
Fe3ReHg after structural relaxation, computed with PBE-GGA.

Calculated values
Energy relative to the lowest polymorph listed for this composition: 88.18 kJ/mol of atoms
ΔE_f: 2.324 eV per atom

Cell and atoms, written as POSCAR:
```
Fe3ReHg
1.0
4.6828 0.0000 0.0000
0.0000 4.6828 0.0000
0.0000 0.0000 4.6828
Re Hg Fe
1 1 3
Cartesian
2.3414 2.3414 2.3414
0.0000 0.0000 0.0000
0.0000 2.3414 0.0000
0.0000 0.0000 2.3414
2.3414 0.0000 0.0000
```

---

(21)
FeAs2Br after structural relaxation, computed with PBE-GGA.

Calculated values
Uncorrected formation energy: 0.03 eV/atom
Energy relative to the lowest polymorph listed for this composition: 5.46 kJ/mol of atoms

Cell and atoms, written as POSCAR:
```
FeAs2Br
1.0
4.5643 -0.0092 0.0910
3.3696 3.0788 0.0910
2.0215 0.7821 6.7484
As Br Fe
2 1 1
Cartesian
7.5689 2.9285 0.7128
7.9152 3.0624 5.9008
5.4622 2.1134 2.9763
1.9206 0.7431 0.9876
```

---

(22)
HgAsPb2 after structural relaxation, computed with PBE-GGA.

Calculated values
Energy relative to the lowest polymorph listed for this composition: 4.47 kJ/mol of atoms
ΔE_f: 0.044 eV per atom

Cell and atoms, written as POSCAR:
```
HgAsPb2
1.0
-5.4406 -5.1438 1.0170
-2.6175 -6.9677 -1.3014
1.2000 -2.3704 3.3261
Pb As Hg
2 1 1
Cartesian
0.9824 -2.5977 3.2400
-5.7107 -11.4584 2.0602
-3.0827 -6.8760 1.6555
-1.2762 -3.1613 0.9330
```

---

(23)
MnSb2P after structural relaxation, computed with PBE-GGA.

Calculated values
Uncorrected formation energy: 0.50 eV/atom

Cell and atoms, written as POSCAR:
```
MnSb2P
1.0
-2.1893 2.1893 4.3900
2.1893 -2.1893 4.3900
2.1893 2.1893 -4.3900
Mn Sb P
1 2 1
Cartesian
0.0000 0.0000 4.3900
0.0000 2.1893 2.1950
2.1893 0.0000 2.1950
0.0000 0.0000 0.0000
```

---

(24)
NdNi4Ge after structural relaxation, computed with PBE-GGA.

Calculated values
Energy relative to the lowest polymorph listed for this composition: 0.00 kJ/mol of atoms
ΔE_f: -0.297 eV per atom

Cell and atoms, written as POSCAR:
```
NdNi4Ge
1.0
3.7755 0.0000 0.0000
0.0000 6.9385 0.0000
0.0000 0.0000 7.0379
Nd Ni Ge
2 8 2
Cartesian
0.0000 4.4446 5.2784
0.0000 2.4938 1.7595
0.0000 0.0000 3.5189
0.0000 0.0000 0.0000
1.8878 6.6207 5.2784
1.8878 0.3178 1.7595
1.8878 5.1581 0.3567
1.8878 1.7803 6.6811
1.8878 5.1581 3.1622
1.8878 1.7803 3.8757
0.0000 1.4920 5.2784
0.0000 5.4465 1.7595
```

---

(25)
BaTiN2F after structural relaxation, computed with PBE-GGA.

Calculated values
Uncorrected formation energy: -1.54 eV/atom
Energy relative to the lowest polymorph listed for this composition: 0.00 kJ/mol of atoms

Cell and atoms, written as POSCAR:
```
BaTiN2F
1.0
-3.0543 1.0427 2.4275
-0.0752 -3.7434 1.5133
2.8590 1.1901 3.0859
N F Ba Ti
2 1 1 1
Cartesian
-0.0376 -1.8717 0.7567
-1.5271 0.5214 1.2137
1.4295 0.5950 1.5430
-0.1353 -0.7553 3.5134
0.0000 0.0000 0.0000
```